Record 1
The following is a DFT calculation (PBE) of a geometry-optimized ZrMn2ReW structure.

Lattice parameters (Å, degrees): 4.351 4.351 4.979 90.00 90.00 90.00
Positions (direct):
Zr 0.000 0.000 0.000
Mn 0.000 0.500 0.500
Mn 0.500 0.000 0.500
Re 0.500 0.500 0.000
W 0.000 0.000 0.500

E_tot = -0.6332 Ry per atom
DOS(E_F) = 8.5 states/eV/f.u.
energy relative to the elements = 42.490 kcal/mol of atoms


Record 2
The following is a DFT calculation (PBE) of a geometry-optimized OsSe structure.

Lattice parameters (Å, degrees): 3.665 3.665 3.665 60.00 60.00 60.00
Positions (direct):
Os 0.000 0.000 0.000
Se 0.500 0.500 0.500

E_tot = -0.4572 Ry per atom
DOS(E_F) = 3.0 states/eV/f.u.